Density functional theory data (GGA-PBE) for an optimized crystal structure of Y3Ho2ErAs2Os.

The structure in extended XYZ format:
```
9
Lattice="4.151 0.000 0.000 0.000 6.808 3.939 0.000 -6.808 3.939" Properties=species:S:1:pos:R:3 pbc="T T T"
Ho 0.000 1.661 0.961
As 0.000 2.263 3.942
Ho 0.000 -1.661 0.961
As 0.000 -2.263 3.942
Y 2.076 -2.759 6.280
Y 2.076 2.759 6.280
Os 2.076 0.000 7.864
Y 2.076 0.000 3.201
Er 0.000 0.000 5.955
```

theoretical density: 8233 kg/m³
crystal system: orthorhombic
DFT total energy: -6.724 eV per atom

Density functional theory data (GGA-PBE) for an optimized crystal structure of PrErAsI2.

The structure in extended XYZ format:
```
5
Lattice="-1.831 3.813 -0.252 0.096 -2.533 -3.396 -9.682 -4.447 3.044" Properties=species:S:1:pos:R:3 pbc="T T T"
I -3.784 -1.905 -1.330
As -9.562 -4.391 3.007
Pr -2.564 1.066 -0.868
I -7.762 -1.321 0.767
Er -8.843 -4.228 0.261
```

theoretical density: 6138 kg/m³
crystal system: trigonal
DFT total energy: -4.885 eV per atom

Density functional theory data (GGA-PBE) for an optimized crystal structure of YErAsI2.

The structure in extended XYZ format:
```
5
Lattice="-3.628 1.657 1.182 0.331 -1.847 -3.713 -2.873 -9.465 4.453" Properties=species:S:1:pos:R:3 pbc="T T T"
I -1.939 -6.389 3.006
Er -4.776 -7.642 3.377
As -3.854 -10.119 2.360
I -3.249 -2.611 1.010
Y -0.405 -1.334 0.628
```

theoretical density: 5974 kg/m³
crystal system: trigonal
DFT total energy: -5.218 eV per atom

Density functional theory data (GGA-PBE) for an optimized crystal structure of ErAsIrO.

The structure in extended XYZ format:
```
8
Lattice="4.527 0.000 0.000 0.000 4.321 0.000 0.000 0.000 6.707" Properties=species:S:1:pos:R:3 pbc="T T T"
As 0.000 0.798 5.243
Ir 0.000 1.377 2.915
As 0.000 3.523 1.889
Er 2.263 3.322 4.023
Ir 0.000 2.944 6.268
O 2.263 1.266 2.937
O 2.263 3.055 6.291
Er 2.263 0.999 0.669
```

polymorph energy (0 for the lowest one): 577 meV/atom
theoretical density: 11402 kg/m³
crystal system: orthorhombic

Density functional theory data (GGA-PBE) for an optimized crystal structure of ErAsIrO.

The structure in extended XYZ format:
```
8
Lattice="-3.292 -3.838 2.748 0.698 -3.067 -4.820 3.649 -1.881 1.733" Properties=species:S:1:pos:R:3 pbc="T T T"
As -2.072 -5.518 -1.655
Ir 0.049 -5.675 -0.552
O -2.512 -3.394 1.594
Er 1.700 -4.161 -2.382
Er -0.636 -4.612 2.049
O 0.160 -2.878 -3.473
Ir 1.010 -3.090 0.218
As 2.871 -3.933 1.113
```

polymorph energy (0 for the lowest one): 560 meV/atom
theoretical density: 10202 kg/m³
crystal system: monoclinic

Density functional theory data (GGA-PBE) for an optimized crystal structure of ErAsIrO.

The structure in extended XYZ format:
```
8
Lattice="-1.364 -3.176 -2.045 0.798 -2.368 3.145 -7.356 1.317 2.859" Properties=species:S:1:pos:R:3 pbc="T T T"
Er -6.010 -0.036 4.063
Ir -3.678 0.659 1.430
O 0.000 0.000 0.000
As -1.955 -0.762 2.487
Ir -3.961 -2.113 1.979
Er -1.629 -1.418 -0.654
As -5.684 -0.693 0.921
O -0.283 -2.772 0.550
```

polymorph energy (0 for the lowest one): 0 meV/atom
theoretical density: 11588 kg/m³
crystal system: tetragonal

Q: The highest theoretical density belongs to which entry?
A: number 6